1.
# PBE-GGA ScMnBr2, relaxed
# * ΔE to the lowest computed polymorph: 403 meV/atom
# * size of the total moment: 8.707 μB/cell
# * calculated volume: 213.0 Å³ per cell
# * ΔE_f (raw): -270 meV/atom
data_ScMnBr2
_chemical_formula_sum 'Sc2 Mn2 Br4'
_space_group_name_H-M_alt 'C m m m'
_space_group_IT_number 65
_space_group_name_Hall '-C 2 2'
_cell_length_a 3.489
_cell_length_b 6.133
_cell_length_c 9.954
_cell_angle_alpha 90.00
_cell_angle_beta 90.00
_cell_angle_gamma 90.00
loop_
_atom_site_label
_atom_site_fract_x
_atom_site_fract_y
_atom_site_fract_z
_atom_site_occupancy
Sc1 0.000 0.000 0.000 1
Mn1 0.000 0.000 0.500 1
Br1 0.000 0.500 0.205 1


2.
# PBE-GGA ScMnBr6, relaxed
# * ΔE to the lowest computed polymorph: 0 meV/atom
# * size of the total moment: 7.998 μB/cell
# * calculated volume: 517.2 Å³ per cell
# * ΔE_f (raw): -1108 meV/atom
data_ScMnBr6
_chemical_formula_sum 'Sc2 Mn2 Br12'
_space_group_name_H-M_alt 'C 1 2/m 1'
_space_group_IT_number 12
_cell_length_a 6.605
_cell_length_b 12.602
_cell_length_c 6.607
_cell_angle_alpha 90.00
_cell_angle_beta 109.88
_cell_angle_gamma 90.00
loop_
_space_group_symop_operation_xyz
'x,y,z'
'-x,-y,-z'
'-x,y,-z'
'x,-y,z'
'x+1/2,y+1/2,z'
'-x+1/2,-y+1/2,-z'
'-x+1/2,y+1/2,-z'
'x+1/2,-y+1/2,z'
loop_
_atom_site_label
_atom_site_fract_x
_atom_site_fract_y
_atom_site_fract_z
_atom_site_occupancy
Sc1 0.000 0.000 0.000 1
Mn1 0.000 0.500 0.500 1
Br1 0.226 0.360 0.728 1
Br2 0.237 0.000 0.761 1


3.
# PBE-GGA ScMnBr2, relaxed
# * ΔE to the lowest computed polymorph: 443 meV/atom
# * size of the total moment: 15.171 μB/cell
# * calculated volume: 327.6 Å³ per cell
# * ΔE_f (raw): -230 meV/atom
data_ScMnBr2
_chemical_formula_sum 'Sc4 Mn4 Br8'
_space_group_name_H-M_alt 'F m -3 m'
_space_group_IT_number 225
_space_group_name_Hall '-F 4 2 3'
_cell_length_a 6.894
_cell_length_b 6.894
_cell_length_c 6.894
_cell_angle_alpha 90.00
_cell_angle_beta 90.00
_cell_angle_gamma 90.00
loop_
_atom_site_label
_atom_site_fract_x
_atom_site_fract_y
_atom_site_fract_z
_atom_site_occupancy
Sc1 0.000 0.000 0.000 1
Mn1 0.000 0.000 0.500 1
Br1 0.250 0.250 0.250 1


4.
# PBE-GGA ScMnBr2, relaxed
# * ΔE to the lowest computed polymorph: 253 meV/atom
# * size of the total moment: 7.768 μB/cell
# * calculated volume: 207.9 Å³ per cell
# * ΔE_f (raw): -420 meV/atom
data_ScMnBr2
_chemical_formula_sum 'Sc2 Mn2 Br4'
_space_group_name_H-M_alt 'I m m 2'
_space_group_IT_number 44
_cell_length_a 3.362
_cell_length_b 4.798
_cell_length_c 12.888
_cell_angle_alpha 90.00
_cell_angle_beta 90.00
_cell_angle_gamma 90.00
loop_
_space_group_symop_operation_xyz
'x,y,z'
'-x,-y,z'
'-x,y,z'
'x,-y,z'
'x+1/2,y+1/2,z+1/2'
'-x+1/2,-y+1/2,z+1/2'
'-x+1/2,y+1/2,z+1/2'
'x+1/2,-y+1/2,z+1/2'
loop_
_atom_site_label
_atom_site_fract_x
_atom_site_fract_y
_atom_site_fract_z
_atom_site_occupancy
Sc1 0.000 0.000 0.000 1
Mn1 0.000 0.500 0.317 1
Br1 0.000 0.000 0.457 1
Br2 0.000 0.500 0.669 1


5.
# PBE-GGA ScMn2Br, relaxed
# * ΔE to the lowest computed polymorph: 320 meV/atom
# * size of the total moment: 6.232 μB/cell
# * calculated volume: 73.5 Å³ per cell
# * ΔE_f (raw): 217 meV/atom
data_ScMn2Br
_chemical_formula_sum 'Sc1 Mn2 Br1'
_space_group_name_H-M_alt 'P 1 2/m 1'
_space_group_IT_number 10
_cell_length_a 3.172
_cell_length_b 4.886
_cell_length_c 4.741
_cell_angle_alpha 90.00
_cell_angle_beta 90.03
_cell_angle_gamma 90.00
loop_
_space_group_symop_operation_xyz
'x,y,z'
'-x,-y,-z'
'-x,y,-z'
'x,-y,z'
loop_
_atom_site_label
_atom_site_fract_x
_atom_site_fract_y
_atom_site_fract_z
_atom_site_occupancy
Sc1 0.000 0.000 0.000 1
Mn1 0.301 0.500 0.232 1
Br1 0.500 0.000 0.500 1


6.
# PBE-GGA ScMn2Br, relaxed
# * ΔE to the lowest computed polymorph: 300 meV/atom
# * size of the total moment: 22.141 μB/cell
# * calculated volume: 242.7 Å³ per cell
# * ΔE_f (raw): 197 meV/atom
data_ScMn2Br
_chemical_formula_sum 'Sc3 Mn6 Br3'
_space_group_name_H-M_alt 'R -3 m'
_space_group_IT_number 166
_space_group_name_Hall '-R 3 2"'
_cell_length_a 3.2898
_cell_length_b 3.2898
_cell_length_c 25.8949
_cell_angle_alpha 90.00
_cell_angle_beta 90.00
_cell_angle_gamma 120.00
loop_
_atom_site_label
_atom_site_fract_x
_atom_site_fract_y
_atom_site_fract_z
_atom_site_occupancy
Sc1 0.0000 0.0000 0.0000 1
Mn1 0.0000 0.0000 0.2473 1
Br1 0.0000 0.0000 0.5000 1